Model P:
Mg2ScI after structural relaxation, computed with PBE.

a b c (Å): 6.757 6.757 6.757
angles (deg): 101.53 101.53 126.88
Fractional positions:
Mg  0.116  0.125  0.491
Mg  0.375  0.884  0.009
Mg  0.634  0.625  0.509
Mg  0.875  0.366  0.991
Sc  0.250  0.750  0.500
Sc  0.500  0.500  0.000
I  0.000  0.000  0.000
I  0.750  0.250  0.500

crystal system	tetragonal
space group	I-42d, No. 122
V	27.60	Å³/atom
magnetic moment	0.0	Bohr magnetons per cell



Model Q:
Mg2ScI after structural relaxation, computed with PBE.

a b c (Å): 5.386 5.386 5.386
angles (deg): 60.00 60.00 60.00
Fractional positions:
Mg  0.250  0.250  0.250
Mg  0.750  0.750  0.750
Sc  0.000  0.000  0.000
I  0.500  0.500  0.500

crystal system	cubic
space group	Fm-3m, No. 225
V	27.62	Å³/atom
magnetic moment	0.0	Bohr magnetons per cell



Each structure's energy above the most stable one, in kJ/mol of atoms: model P 0.0; model Q 24.9.



Model P:
MgScI3 after structural relaxation, computed with PBE.

a b c (Å): 5.683 5.683 5.683
angles (deg): 90.00 90.00 90.00
Fractional positions:
Mg  0.000  0.000  0.000
Sc  0.500  0.500  0.500
I  0.000  0.000  0.500
I  0.000  0.500  0.000
I  0.500  0.000  0.000

crystal system	cubic
space group	Pm-3m, No. 221
V	36.71	Å³/atom
magnetic moment	1.8	Bohr magnetons per cell



Model Q:
MgScI3 after structural relaxation, computed with PBE.

a b c (Å): 5.781 5.781 5.781
angles (deg): 90.00 90.00 90.00
Fractional positions:
Mg  0.000  0.000  0.000
Sc  0.500  0.500  0.500
I  0.000  0.500  0.500
I  0.500  0.000  0.500
I  0.500  0.500  0.000

crystal system	cubic
space group	Pm-3m, No. 221
V	38.64	Å³/atom
magnetic moment	0.0	Bohr magnetons per cell



Each structure's energy above the most stable one, in kJ/mol of atoms: model P 32.3; model Q 0.0.



Model P:
MgScTeI2 after structural relaxation, computed with PBE.

a b c (Å): 6.548 6.548 5.348
angles (deg): 90.00 90.00 90.00
Fractional positions:
Mg  0.000  0.000  0.000
Sc  0.500  0.500  0.000
Te  0.500  0.500  0.500
I  0.000  0.500  0.500
I  0.500  0.000  0.500

crystal system	tetragonal
space group	P4/mmm, No. 123
V	45.85	Å³/atom
magnetic moment	0.7	Bohr magnetons per cell



Model Q:
MgScTeI2 after structural relaxation, computed with PBE.

a b c (Å): 5.487 5.487 5.779
angles (deg): 90.00 90.00 90.00
Fractional positions:
Mg  0.000  0.000  0.000
Sc  0.500  0.500  0.500
Te  0.000  0.000  0.500
I  0.000  0.500  0.000
I  0.500  0.000  0.000

crystal system	tetragonal
space group	P4/mmm, No. 123
V	34.80	Å³/atom
magnetic moment	1.0	Bohr magnetons per cell



Each structure's energy above the most stable one, in kJ/mol of atoms: model P 42.7; model Q 0.0.



Model P:
MgSeI2 after structural relaxation, computed with PBE.

a b c (Å): 7.239 7.239 7.239
angles (deg): 109.17 109.17 110.07
Fractional positions:
Mg  0.000  0.000  0.000
Mg  0.750  0.250  0.500
Se  0.250  0.750  0.500
Se  0.500  0.500  0.000
I  0.060  0.625  0.935
I  0.375  0.310  0.435
I  0.690  0.125  0.065
I  0.875  0.940  0.565

crystal system	tetragonal
space group	I-42d, No. 122
V	36.49	Å³/atom
magnetic moment	4.0	Bohr magnetons per cell



Model Q:
MgSeI2 after structural relaxation, computed with PBE.

a b c (Å): 5.467 5.467 5.467
angles (deg): 60.00 60.00 60.00
Fractional positions:
Mg  0.000  0.000  0.000
Se  0.500  0.500  0.500
I  0.250  0.250  0.250
I  0.750  0.750  0.750

crystal system	cubic
space group	Fm-3m, No. 225
V	28.88	Å³/atom
magnetic moment	2.0	Bohr magnetons per cell



Each structure's energy above the most stable one, in kJ/mol of atoms: model P 0.0; model Q 25.9.



Model P:
MgTeSeI2 after structural relaxation, computed with PBE.

a b c (Å): 5.687 5.687 5.665
angles (deg): 90.00 90.00 90.00
Fractional positions:
Mg  0.000  0.000  0.000
Te  0.500  0.500  0.000
Se  0.500  0.500  0.500
I  0.000  0.500  0.500
I  0.500  0.000  0.500

crystal system	tetragonal
space group	P4/mmm, No. 123
V	36.64	Å³/atom
magnetic moment	0.0	Bohr magnetons per cell



Model Q:
MgTeSeI2 after structural relaxation, computed with PBE.

a b c (Å): 5.457 5.457 5.917
angles (deg): 90.00 90.00 90.00
Fractional positions:
Mg  0.000  0.000  0.000
Te  0.000  0.000  0.500
Se  0.500  0.500  0.500
I  0.000  0.500  0.000
I  0.500  0.000  0.000

crystal system	tetragonal
space group	P4/mmm, No. 123
V	35.23	Å³/atom
magnetic moment	0.9	Bohr magnetons per cell



Each structure's energy above the most stable one, in kJ/mol of atoms: model P 3.9; model Q 0.0.



Model P:
MgSiI3 after structural relaxation, computed with PBE.

a b c (Å): 5.668 5.668 5.668
angles (deg): 90.00 90.00 90.00
Fractional positions:
Mg  0.000  0.000  0.000
Si  0.500  0.500  0.500
I  0.000  0.000  0.500
I  0.000  0.500  0.000
I  0.500  0.000  0.000

crystal system	cubic
space group	Pm-3m, No. 221
V	36.43	Å³/atom
magnetic moment	1.0	Bohr magnetons per cell



Model Q:
MgSiI3 after structural relaxation, computed with PBE.

a b c (Å): 5.622 5.622 5.622
angles (deg): 90.00 90.00 90.00
Fractional positions:
Mg  0.000  0.000  0.000
Si  0.500  0.500  0.500
I  0.000  0.500  0.500
I  0.500  0.000  0.500
I  0.500  0.500  0.000

crystal system	cubic
space group	Pm-3m, No. 221
V	35.54	Å³/atom
magnetic moment	0.0	Bohr magnetons per cell



Each structure's energy above the most stable one, in kJ/mol of atoms: model P 5.9; model Q 0.0.